(1)
ReSn2F GGA-PBE relaxed; total moment = 0.000 μB/cell; formation energy (no corrections) = 0.21 eV/atom; SG = I-42d; Fermi-level density of states = 4.12 states/eV/cell; offset from the most stable computed form = 144 meV/atom
1.0
5.688 0.000 0.000
0.000 5.688 0.000
2.844 2.844 6.165
Sn F Re
4 2 2
Direct
0.139 0.625 0.250
0.375 0.389 0.750
0.611 0.125 0.250
0.875 0.861 0.750
0.250 0.750 0.500
0.500 0.500 0.000
0.750 0.250 0.500
0.000 0.000 0.000


(2)
ReSn3F GGA-PBE relaxed; total moment = 0.000 μB/cell; formation energy (no corrections) = -0.32 eV/atom; SG = Pm-3m; Fermi-level density of states = 0.00 states/eV/cell; offset from the most stable computed form = 0 meV/atom
1.0
5.138 0.000 0.000
0.000 5.138 0.000
0.000 0.000 5.138
Sn Re F
3 1 1
Direct
0.000 0.000 0.500
0.000 0.500 0.000
0.500 0.000 0.000
0.000 0.000 0.000
0.500 0.500 0.500


(3)
Re2SnF GGA-PBE relaxed; total moment = 2.803 μB/cell; formation energy (no corrections) = 0.82 eV/atom; SG = Fm-3m; Fermi-level density of states = 4.25 states/eV/cell; offset from the most stable computed form = 157 meV/atom
1.0
0.000 3.163 3.163
3.163 0.000 3.163
3.163 3.163 0.000
Re F Sn
2 1 1
Direct
0.750 0.750 0.750
0.250 0.250 0.250
0.000 0.000 0.000
0.500 0.500 0.500


(4)
Re2SnF GGA-PBE relaxed; total moment = 0.001 μB/cell; formation energy (no corrections) = 0.67 eV/atom; SG = I-42d; Fermi-level density of states = 8.60 states/eV/cell; offset from the most stable computed form = 0 meV/atom
1.0
-3.444 2.520 -5.797
-6.305 -1.843 2.944
-5.029 2.552 -0.372
Re Sn F
4 2 2
Direct
0.875 0.809 0.750
0.559 0.125 0.250
0.191 0.625 0.250
0.375 0.441 0.750
0.750 0.250 0.500
0.000 0.000 0.000
0.250 0.750 0.500
0.500 0.500 0.000


(5)
ReSn3F GGA-PBE relaxed; total moment = 2.132 μB/cell; formation energy (no corrections) = 0.43 eV/atom; SG = Pm-3m; Fermi-level density of states = 3.61 states/eV/cell; offset from the most stable computed form = 753 meV/atom
1.0
-3.448 -3.283 -0.196
1.799 -2.119 3.870
-2.754 2.726 2.773
Sn F Re
3 1 1
Direct
0.000 0.500 0.000
0.500 0.000 0.000
0.000 0.000 0.500
0.000 0.000 0.000
0.500 0.500 0.500


(6)
ReSn2F GGA-PBE relaxed; total moment = 1.168 μB/cell; formation energy (no corrections) = 0.07 eV/atom; SG = Fm-3m; Fermi-level density of states = 3.88 states/eV/cell; offset from the most stable computed form = 0 meV/atom
1.0
0.000 3.329 3.329
3.329 0.000 3.329
3.329 3.329 0.000
Sn Re F
2 1 1
Direct
0.250 0.250 0.250
0.750 0.750 0.750
0.500 0.500 0.500
0.000 0.000 0.000